1.
LiMg5Ag6 GGA-PBE relaxed; SG = No. 12; M_tot = 0.00 μB per formula unit
1.0
4.540 0.003 -1.268
-3.405 6.530 -3.461
-0.180 -1.023 8.070
Mg Ag Li
5 6 1
Direct
0.500 0.169 0.831 Mg
0.000 0.334 0.666 Mg
0.000 0.666 0.334 Mg
0.500 0.831 0.169 Mg
0.500 0.500 0.500 Mg
0.740 0.241 0.241 Ag
0.754 0.918 0.592 Ag
0.260 0.759 0.759 Ag
0.246 0.082 0.408 Ag
0.246 0.408 0.082 Ag
0.754 0.592 0.918 Ag
0.000 0.000 0.000 Li

2.
Cu2Br GGA-PBE relaxed; polymorph energy (0 for the lowest one) = 300 meV/atom; SG = No. 71; M_tot = 0.00 μB per formula unit
1.0
-0.939 1.127 2.924
4.914 -7.935 4.638
2.655 1.748 0.178
Cu Br
4 2
Direct
0.500 0.692 0.000 Cu
0.000 0.192 0.500 Cu
0.500 0.308 0.000 Cu
0.000 0.808 0.500 Cu
0.500 0.500 0.500 Br
0.000 0.000 0.000 Br

3.
TmPaAsN2 GGA-PBE relaxed; SG = No. 107; M_tot = 0.00 μB per formula unit
1.0
3.868 0.000 0.000
0.000 3.868 0.000
-1.934 -1.934 6.206
Pa N Tm As
1 2 1 1
Direct
0.165 0.165 0.331 Pa
0.746 0.246 0.492 N
0.246 0.746 0.492 N
0.840 0.840 0.679 Tm
0.503 0.503 0.006 As

| no. | electronic total energy (hartree per atom) |
| --- | --- |
| 1 | -0.0917 |
| 2 | -0.1099 |
| 3 | -0.3115 |